This record from the Alexandria database describes a geometry-optimized SrIBr6 structure. The functional is PBE.

Cell and atoms, written as POSCAR:
```
SrIBr6
1.0
6.0014 0.0000 0.0000
-0.2019 6.0593 0.0000
-1.8830 -2.4407 7.9100
Sr I Br
1 1 6
Direct
0.0000 0.0000 0.0000 Sr
0.0000 0.5000 0.5000 I
0.0656 0.5493 0.2027 Br
0.2406 0.1337 0.4164 Br
0.4954 0.2377 0.9924 Br
0.5046 0.7623 0.0076 Br
0.7594 0.8663 0.5836 Br
0.9344 0.4507 0.7973 Br
```

---

This record from the Alexandria database describes a geometry-optimized SrTeI2Br structure. The functional is PBE.

Cell and atoms, written as POSCAR:
```
SrTeI2Br
1.0
6.3316 0.0000 0.0000
0.0000 6.3316 0.0000
0.0000 0.0000 6.7812
Sr Te I Br
1 1 2 1
Direct
0.0000 0.0000 0.0000 Sr
0.0000 0.0000 0.5000 Te
0.0000 0.5000 0.0000 I
0.5000 0.0000 0.0000 I
0.5000 0.5000 0.5000 Br
```

Output
Distance to the lowest polymorph of the same formula (meV per atom): 0.0

---

Computed formation energy from raw total energies (meV/atom) in order:
-700, -343
Computed spin magnetization (μB/cell) in order:
0.0, 3.1
Computed calculated density (Mg/m³) in order:
4.0, 3.4